P:
Compound: TaB3Au
Source: Alexandria
Functional: PBE
Structure: relaxed

Calculated values
- Crystal system: cubic
- Total magnetic moment: 0.0 μB per formula unit
- Mass density: 9.87 Mg/m³

abc: 4.1024 4.1024 4.1024
angles: 90.00 90.00 90.00
Closest atoms and distances in Å follow each position.
Space group Pm-3m (No. 221)
Asymmetric unit:
Ta  0.0000  0.0000  0.0000 (multiplicity 1)  12 B 2.90
B  0.0000  0.5000  0.5000 (multiplicity 3)  2 Au 2.05
Au  0.5000  0.5000  0.5000 (multiplicity 1)  6 B 2.05

***

Q:
Compound: TaB3Au
Source: Alexandria
Functional: PBE
Structure: relaxed

Calculated values
- Crystal system: cubic
- Total magnetic moment: 0.0 μB per formula unit
- Mass density: 8.61 Mg/m³

abc: 4.2933 4.2933 4.2933
angles: 90.00 90.00 90.00
Closest atoms and distances in Å follow each position.
Space group Pm-3m (No. 221)
Asymmetric unit:
Ta  0.0000  0.0000  0.0000 (multiplicity 1)  6 B 2.15
B  0.0000  0.0000  0.5000 (multiplicity 3)  2 Ta 2.15
Au  0.5000  0.5000  0.5000 (multiplicity 1)  12 B 3.04

***

Name the most stable of them. Q.